Record 1
Computed, not measured: crystalline Li2Zn3F8 at its relaxed geometry at the GGA-PBE level of DFT.

Cell lengths 5.9955, 5.9955, 5.3321 Å; angles 108.30, 108.30, 62.67 degrees
Element x y z (fractional)
Li  0.1776  0.1776  0.1374
Li  0.8224  0.8224  0.8626
Zn  0.2368  0.7632  0.5000
Zn  0.5000  0.5000  0.0000
Zn  0.7632  0.2368  0.5000
F  0.1164  0.1164  0.7465
F  0.1504  0.6320  0.7500
F  0.3680  0.8496  0.2500
F  0.3832  0.3832  0.2592
F  0.6168  0.6168  0.7408
F  0.6320  0.1504  0.7500
F  0.8496  0.3680  0.2500
F  0.8836  0.8836  0.2535

Computed properties:
- formation energy without anion corrections (eV/atom) = -2.490
- magnetization (μB/f.u.) = 0.00
- volume (Å³/cell) = 158.3
- uncorrected energy (eV/atom) = -4.230

***

Record 2
Computed, not measured: crystalline LiZn2F at its relaxed geometry at the GGA-PBE level of DFT.

Cell lengths 4.5232, 4.5232, 4.5232 Å; angles 60.00, 60.00, 60.00 degrees
Element x y z (fractional)
Li  0.0000  0.0000  0.0000
Zn  0.2500  0.2500  0.2500
Zn  0.7500  0.7500  0.7500
F  0.5000  0.5000  0.5000

Computed properties:
- formation energy without anion corrections (eV/atom) = -0.428
- magnetization (μB/f.u.) = 0.00
- volume (Å³/cell) = 65.4
- uncorrected energy (eV/atom) = -2.011
- energy relative to the lowest polymorph listed for this composition (meV/atom) = 383

***

Record 3
Computed, not measured: crystalline Li2Zn2F7 at its relaxed geometry at the GGA-PBE level of DFT.

Cell lengths 5.2236, 5.2236, 5.0520 Å; angles 95.01, 95.01, 77.31 degrees
Element x y z (fractional)
Li  0.1954  0.8046  0.0000
Li  0.8046  0.1954  0.0000
Zn  0.2583  0.2583  0.5382
Zn  0.7417  0.7417  0.4618
F  0.0350  0.5831  0.7438
F  0.0760  0.0760  0.7580
F  0.4169  0.9650  0.2562
F  0.5000  0.5000  0.5000
F  0.5831  0.0350  0.7438
F  0.9240  0.9240  0.2420
F  0.9650  0.4169  0.2562

Computed properties:
- formation energy without anion corrections (eV/atom) = -2.239
- magnetization (μB/f.u.) = 1.06
- volume (Å³/cell) = 133.6
- uncorrected energy (eV/atom) = -4.009
- energy relative to the lowest polymorph listed for this composition (meV/atom) = 45

***

Record 4
Computed, not measured: crystalline Li3ZnF at its relaxed geometry at the GGA-PBE level of DFT.

Cell lengths 4.8747, 4.8747, 4.8747 Å; angles 90.00, 90.00, 90.00 degrees
Element x y z (fractional)
Li  0.0000  0.0000  0.5000
Li  0.0000  0.5000  0.0000
Li  0.5000  0.0000  0.0000
Zn  0.0000  0.0000  0.0000
F  0.5000  0.5000  0.5000

Computed properties:
- formation energy without anion corrections (eV/atom) = -0.185
- magnetization (μB/f.u.) = 0.00
- volume (Å³/cell) = 115.8
- uncorrected energy (eV/atom) = -1.962
- energy relative to the lowest polymorph listed for this composition (meV/atom) = 915

***

Record 5
Computed, not measured: crystalline LiZn4F8 at its relaxed geometry at the GGA-PBE level of DFT.

Cell lengths 6.3077, 6.3077, 6.3077 Å; angles 60.00, 60.00, 60.00 degrees
Element x y z (fractional)
Li  0.0000  0.0000  0.0000
Zn  0.1267  0.6244  0.6244
Zn  0.6244  0.1267  0.6244
Zn  0.6244  0.6244  0.1267
Zn  0.6244  0.6244  0.6244
F  0.3904  0.3904  0.3904
F  0.3904  0.3904  0.8289
F  0.3904  0.8289  0.3904
F  0.3947  0.8684  0.8684
F  0.8289  0.3904  0.3904
F  0.8684  0.3947  0.8684
F  0.8684  0.8684  0.3947
F  0.8684  0.8684  0.8684

Computed properties:
- formation energy without anion corrections (eV/atom) = -2.170
- magnetization (μB/f.u.) = 0.00
- volume (Å³/cell) = 177.5
- uncorrected energy (eV/atom) = -3.861

***

Record 6
Computed, not measured: crystalline Li2ZnF6 at its relaxed geometry at the GGA-PBE level of DFT.

Cell lengths 4.4104, 4.4104, 8.7389 Å; angles 113.42, 113.42, 42.24 degrees
Element x y z (fractional)
Li  0.2101  0.2101  0.3368
Li  0.7899  0.7899  0.6632
Zn  0.5000  0.5000  0.0000
F  0.1350  0.1350  0.5379
F  0.1731  0.1731  0.0792
F  0.4599  0.4599  0.7682
F  0.5401  0.5401  0.2318
F  0.8269  0.8269  0.9208
F  0.8650  0.8650  0.4621

Computed properties:
- formation energy without anion corrections (eV/atom) = -1.983
- magnetization (μB/f.u.) = 2.05
- volume (Å³/cell) = 103.4
- uncorrected energy (eV/atom) = -3.797
- energy relative to the lowest polymorph listed for this composition (meV/atom) = 22

***

Record 7
Computed, not measured: crystalline Li2ZnF at its relaxed geometry at the GGA-PBE level of DFT.

Cell lengths 4.4043, 4.4043, 4.4043 Å; angles 60.00, 60.00, 60.00 degrees
Element x y z (fractional)
Li  0.2500  0.2500  0.2500
Li  0.7500  0.7500  0.7500
Zn  0.0000  0.0000  0.0000
F  0.5000  0.5000  0.5000

Computed properties:
- formation energy without anion corrections (eV/atom) = -0.784
- magnetization (μB/f.u.) = 0.00
- volume (Å³/cell) = 60.4
- uncorrected energy (eV/atom) = -2.527
- energy relative to the lowest polymorph listed for this composition (meV/atom) = 678

***

Record 8
Computed, not measured: crystalline Li5Zn3F12 at its relaxed geometry at the GGA-PBE level of DFT.

Cell lengths 10.2503, 10.2503, 10.2503 Å; angles 109.47, 109.47, 109.47 degrees
Element x y z (fractional)
Li  0.0000  0.0000  0.0000
Li  0.0000  0.0000  0.5000
Li  0.0000  0.5000  0.0000
Li  0.0000  0.5000  0.5000
Li  0.1250  0.7500  0.8750
Li  0.1250  0.8750  0.2500
Li  0.2500  0.1250  0.8750
Li  0.2500  0.6250  0.3750
Li  0.3750  0.2500  0.6250
Li  0.3750  0.6250  0.7500
Li  0.5000  0.0000  0.0000
Li  0.5000  0.0000  0.5000
Li  0.5000  0.5000  0.0000
Li  0.5000  0.5000  0.5000
Li  0.6250  0.3750  0.2500
Li  0.6250  0.7500  0.3750
Li  0.7500  0.3750  0.6250
Li  0.7500  0.8750  0.1250
Li  0.8750  0.1250  0.7500
Li  0.8750  0.2500  0.1250
Zn  0.1250  0.2500  0.3750
Zn  0.1250  0.3750  0.7500
Zn  0.2500  0.3750  0.1250
Zn  0.2500  0.8750  0.6250
Zn  0.3750  0.1250  0.2500
Zn  0.3750  0.7500  0.1250
Zn  0.6250  0.2500  0.8750
Zn  0.6250  0.8750  0.7500
Zn  0.7500  0.1250  0.3750
Zn  0.7500  0.6250  0.8750
Zn  0.8750  0.6250  0.2500
Zn  0.8750  0.7500  0.6250
F  0.0420  0.2206  0.1300
F  0.0420  0.3214  0.9120
F  0.0880  0.6300  0.4093
F  0.0880  0.9580  0.6786
F  0.0907  0.7206  0.6786
F  0.0907  0.8700  0.4120
F  0.1300  0.0420  0.2206
F  0.1300  0.5880  0.9093
F  0.1786  0.2206  0.5907
F  0.1786  0.4580  0.5880
F  0.2206  0.1300  0.0420
F  0.2206  0.5907  0.1786
F  0.2794  0.3214  0.9093
F  0.2794  0.4580  0.3700
F  0.3214  0.9093  0.2794
F  0.3214  0.9120  0.0420
F  0.3700  0.2794  0.4580
F  0.3700  0.5907  0.9120
F  0.4093  0.0880  0.6300
F  0.4093  0.8214  0.7794
F  0.4120  0.0907  0.8700
F  0.4120  0.8214  0.5420
F  0.4580  0.3700  0.2794
F  0.4580  0.5880  0.1786
F  0.5420  0.4120  0.8214
F  0.5420  0.6300  0.7206
F  0.5880  0.1786  0.4580
F  0.5880  0.9093  0.1300
F  0.5907  0.1786  0.2206
F  0.5907  0.9120  0.3700
F  0.6300  0.4093  0.0880
F  0.6300  0.7206  0.5420
F  0.6786  0.0880  0.9580
F  0.6786  0.0907  0.7206
F  0.7206  0.5420  0.6300
F  0.7206  0.6786  0.0907
F  0.7794  0.4093  0.8214
F  0.7794  0.8700  0.9580
F  0.8214  0.5420  0.4120
F  0.8214  0.7794  0.4093
F  0.8700  0.4120  0.0907
F  0.8700  0.9580  0.7794
F  0.9093  0.1300  0.5880
F  0.9093  0.2794  0.3214
F  0.9120  0.0420  0.3214
F  0.9120  0.3700  0.5907
F  0.9580  0.6786  0.0880
F  0.9580  0.7794  0.8700

Computed properties:
- formation energy without anion corrections (eV/atom) = -2.398
- magnetization (μB/f.u.) = 1.28
- volume (Å³/cell) = 829.1
- uncorrected energy (eV/atom) = -4.190

***

Record 9
Computed, not measured: crystalline Li3ZnF at its relaxed geometry at the GGA-PBE level of DFT.

Cell lengths 4.0751, 4.0751, 4.0751 Å; angles 90.00, 90.00, 90.00 degrees
Element x y z (fractional)
Li  0.0000  0.0000  0.5000
Li  0.0000  0.5000  0.0000
Li  0.5000  0.0000  0.0000
Zn  0.5000  0.5000  0.5000
F  0.0000  0.0000  0.0000

Computed properties:
- formation energy without anion corrections (eV/atom) = -1.100
- magnetization (μB/f.u.) = 0.00
- volume (Å³/cell) = 67.7
- uncorrected energy (eV/atom) = -2.877
- energy relative to the lowest polymorph listed for this composition (meV/atom) = 0

***

Record 10
Computed, not measured: crystalline Li3Zn5F12 at its relaxed geometry at the GGA-PBE level of DFT.

Cell lengths 11.0306, 11.0306, 11.0306 Å; angles 109.47, 109.47, 109.47 degrees
Element x y z (fractional)
Li  0.1250  0.2500  0.3750
Li  0.1250  0.3750  0.7500
Li  0.2500  0.3750  0.1250
Li  0.2500  0.8750  0.6250
Li  0.3750  0.1250  0.2500
Li  0.3750  0.7500  0.1250
Li  0.6250  0.2500  0.8750
Li  0.6250  0.8750  0.7500
Li  0.7500  0.1250  0.3750
Li  0.7500  0.6250  0.8750
Li  0.8750  0.6250  0.2500
Li  0.8750  0.7500  0.6250
Zn  0.0000  0.0000  0.0000
Zn  0.0000  0.0000  0.5000
Zn  0.0000  0.5000  0.0000
Zn  0.0000  0.5000  0.5000
Zn  0.1250  0.7500  0.8750
Zn  0.1250  0.8750  0.2500
Zn  0.2500  0.1250  0.8750
Zn  0.2500  0.6250  0.3750
Zn  0.3750  0.2500  0.6250
Zn  0.3750  0.6250  0.7500
Zn  0.5000  0.0000  0.0000
Zn  0.5000  0.0000  0.5000
Zn  0.5000  0.5000  0.0000
Zn  0.5000  0.5000  0.5000
Zn  0.6250  0.3750  0.2500
Zn  0.6250  0.7500  0.3750
Zn  0.7500  0.3750  0.6250
Zn  0.7500  0.8750  0.1250
Zn  0.8750  0.1250  0.7500
Zn  0.8750  0.2500  0.1250
F  0.0356  0.2097  0.1294
F  0.0356  0.3259  0.9063
F  0.0804  0.7097  0.6741
F  0.0804  0.8706  0.4063
F  0.0937  0.6294  0.4196
F  0.0937  0.9644  0.6741
F  0.1294  0.0356  0.2097
F  0.1294  0.5937  0.9196
F  0.1741  0.2097  0.5804
F  0.1741  0.4644  0.5937
F  0.2097  0.1294  0.0356
F  0.2097  0.5804  0.1741
F  0.2903  0.3259  0.9196
F  0.2903  0.4644  0.3706
F  0.3259  0.9063  0.0356
F  0.3259  0.9196  0.2903
F  0.3706  0.2903  0.4644
F  0.3706  0.5804  0.9063
F  0.4063  0.0804  0.8706
F  0.4063  0.8259  0.5356
F  0.4196  0.0937  0.6294
F  0.4196  0.8259  0.7903
F  0.4644  0.3706  0.2903
F  0.4644  0.5937  0.1741
F  0.5356  0.4063  0.8259
F  0.5356  0.6294  0.7097
F  0.5804  0.1741  0.2097
F  0.5804  0.9063  0.3706
F  0.5937  0.1741  0.4644
F  0.5937  0.9196  0.1294
F  0.6294  0.4196  0.0937
F  0.6294  0.7097  0.5356
F  0.6741  0.0804  0.7097
F  0.6741  0.0937  0.9644
F  0.7097  0.5356  0.6294
F  0.7097  0.6741  0.0804
F  0.7903  0.4196  0.8259
F  0.7903  0.8706  0.9644
F  0.8259  0.5356  0.4063
F  0.8259  0.7903  0.4196
F  0.8706  0.4063  0.0804
F  0.8706  0.9644  0.7903
F  0.9063  0.0356  0.3259
F  0.9063  0.3706  0.5804
F  0.9196  0.1294  0.5937
F  0.9196  0.2903  0.3259
F  0.9644  0.6741  0.0937
F  0.9644  0.7903  0.8706

Computed properties:
- formation energy without anion corrections (eV/atom) = -2.290
- magnetization (μB/f.u.) = 0.00
- volume (Å³/cell) = 1033.2
- uncorrected energy (eV/atom) = -4.018

***

Record 11
Computed, not measured: crystalline Li4ZnF7 at its relaxed geometry at the GGA-PBE level of DFT.

Cell lengths 5.1102, 5.1102, 9.1351 Å; angles 109.29, 109.29, 33.50 degrees
Element x y z (fractional)
Li  0.0000  0.0000  0.0000
Li  0.1986  0.1986  0.7546
Li  0.5801  0.5801  0.4606
Li  0.8855  0.8855  0.6110
Zn  0.7869  0.7869  0.1749
F  0.1677  0.1677  0.2223
F  0.2272  0.2272  0.5400
F  0.3948  0.3948  0.1008
F  0.5398  0.5398  0.6618
F  0.6290  0.6290  0.9701
F  0.8430  0.8430  0.8087
F  0.9328  0.9328  0.3819

Computed properties:
- formation energy without anion corrections (eV/atom) = -2.489
- magnetization (μB/f.u.) = 1.09
- volume (Å³/cell) = 123.6
- uncorrected energy (eV/atom) = -4.325

***

Record 12
Computed, not measured: crystalline Li4Zn2F9 at its relaxed geometry at the GGA-PBE level of DFT.

Cell lengths 5.1101, 5.1101, 13.9547 Å; angles 90.00, 90.00, 120.00 degrees
Element x y z (fractional)
Li  0.3333  0.6667  0.1839
Li  0.3333  0.6667  0.4839
Li  0.3333  0.6667  0.6839
Li  0.3333  0.6667  0.9839
Li  0.6667  0.3333  0.0161
Li  0.6667  0.3333  0.3161
Li  0.6667  0.3333  0.5161
Li  0.6667  0.3333  0.8161
Zn  0.0000  0.0000  0.1451
Zn  0.0000  0.0000  0.3549
Zn  0.0000  0.0000  0.6451
Zn  0.0000  0.0000  0.8549
F  0.0000  0.2992  0.2500
F  0.0000  0.7008  0.7500
F  0.0245  0.3566  0.5840
F  0.0245  0.6679  0.0840
F  0.2992  0.0000  0.2500
F  0.2992  0.2992  0.7500
F  0.3321  0.3566  0.0840
F  0.3321  0.9755  0.5840
F  0.3566  0.0245  0.9160
F  0.3566  0.3321  0.4160
F  0.6434  0.6679  0.5840
F  0.6434  0.9755  0.0840
F  0.6679  0.0245  0.4160
F  0.6679  0.6434  0.9160
F  0.7008  0.0000  0.7500
F  0.7008  0.7008  0.2500
F  0.9755  0.3321  0.9160
F  0.9755  0.6434  0.4160

Computed properties:
- formation energy without anion corrections (eV/atom) = -2.486
- magnetization (μB/f.u.) = 1.16
- volume (Å³/cell) = 315.6
- uncorrected energy (eV/atom) = -4.289

***

What is the formula in the eighth record? Li5Zn3F12

***

What is the uncorrected energy in the fourth record? -1.962 eV/atom